EuGeS3: optimized geometry, GGA-PBE.

Lattice parameters (Å, degrees): 8.474 8.549 11.816 69.35 81.02 75.30
Space group P-1 (No. 2)
One atom of each set of equivalent atoms:
Eu 0.070 0.438 0.320 (multiplicity 2)
Eu 0.253 0.239 0.000 (multiplicity 2)
Eu 0.390 0.755 0.364 (multiplicity 2)
Ge 0.053 0.018 0.689 (multiplicity 2)
Ge 0.269 0.773 0.975 (multiplicity 2)
Ge 0.405 0.658 0.698 (multiplicity 2)
S 0.047 0.714 0.420 (multiplicity 2)
S 0.108 0.589 0.048 (multiplicity 2)
S 0.138 0.036 0.858 (multiplicity 2)
S 0.151 0.119 0.267 (multiplicity 2)
S 0.275 0.449 0.736 (multiplicity 2)
S 0.280 0.919 0.581 (multiplicity 2)
S 0.381 0.388 0.429 (multiplicity 2)
S 0.386 0.847 0.097 (multiplicity 2)
S 0.493 0.678 0.863 (multiplicity 2)

Values from the calculation:
Crystal system   triclinic
Total moment   0.47 μB/atom
Final energy   -6.517 eV per atom
Calculated volume   772.68 Å³ per cell

PuIrAu: optimized geometry, GGA-PBE.

Lattice parameters (Å, degrees): 3.549 3.549 9.615 90.00 90.00 90.00
Space group I4mm (No. 107)
One atom of each set of equivalent atoms:
Pu 0.000 0.000 0.000 (multiplicity 2)
Ir 0.000 0.000 0.361 (multiplicity 2)
Au 0.000 0.000 0.690 (multiplicity 2)

Values from the calculation:
Crystal system   tetragonal
Formation energy   -0.162 eV per atom
Total moment   1.44 μB/atom
Final energy   -8.985 eV per atom
Excess energy over the best structure of this formula in the dataset   151 meV/atom
Calculated volume   121.13 Å³ per cell

CaHf2F2: optimized geometry, GGA-PBE.

Lattice parameters (Å, degrees): 8.480 8.480 3.814 90.00 90.00 90.00
Space group P4/mbm (No. 127)
One atom of each set of equivalent atoms:
Ca 0.000 0.000 0.000 (multiplicity 2)
Hf 0.119 0.381 0.000 (multiplicity 4)
F 0.182 0.318 0.500 (multiplicity 4)

Values from the calculation:
Crystal system   tetragonal
Total moment   0.18 μB/atom
Final energy   -6.001 eV per atom
Excess energy over the best structure of this formula in the dataset   400 meV/atom
Calculated volume   274.25 Å³ per cell

Sm2IrN: optimized geometry, GGA-PBE.

Lattice parameters (Å, degrees): 3.6901 3.6901 20.3169 90.00 90.00 120.00
Space group R-3m (No. 166, hexagonal axes)
One atom of each set of equivalent atoms:
Sm 0.0000 0.0000 0.2372 (multiplicity 6)
Ir 0.0000 0.0000 0.0000 (multiplicity 3)
N 0.0000 0.0000 0.5000 (multiplicity 3)

Values from the calculation:
Crystal system   trigonal
Total moment   0.00 μB/atom
Final energy   -7.441 eV per atom
Calculated volume   239.59 Å³ per cell

Sr2PrPaBi4: optimized geometry, GGA-PBE.

Lattice parameters (Å, degrees): 8.076 4.687 8.208 90.00 109.06 90.00
Space group P2/m (No. 10)
One atom of each set of equivalent atoms:
Sr 0.000 0.000 0.000 (multiplicity 1)
Sr 0.500 0.500 0.000 (multiplicity 1)
Pr 0.000 0.500 0.500 (multiplicity 1)
Pa 0.500 0.000 0.500 (multiplicity 1)
Bi 0.256 0.000 0.729 (multiplicity 2)
Bi 0.270 0.500 0.276 (multiplicity 2)

Values from the calculation:
Crystal system   monoclinic
Formation energy   -0.712 eV per atom
Total moment   0.02 μB/atom
Final energy   -4.857 eV per atom
Calculated volume   293.70 Å³ per cell

Sm2NbBr: optimized geometry, GGA-PBE.

Lattice parameters (Å, degrees): 3.3383 3.3383 32.6130 90.00 90.00 120.00
Space group R-3m (No. 166, hexagonal axes)
One atom of each set of equivalent atoms:
Sm 0.0000 0.0000 0.0916 (multiplicity 6)
Nb 0.0000 0.0000 0.0000 (multiplicity 3)
Br 0.0000 0.0000 0.5000 (multiplicity 3)

Values from the calculation:
Crystal system   trigonal
Total moment   0.25 μB/atom
Final energy   -5.197 eV per atom
Calculated volume   314.76 Å³ per cell

LaV2ZnRe: optimized geometry, GGA-PBE.

Lattice parameters (Å, degrees): 4.558 4.558 4.855 90.00 90.00 90.00
Space group P4/mmm (No. 123)
One atom of each set of equivalent atoms:
La 0.000 0.000 0.000 (multiplicity 1)
V 0.000 0.500 0.000 (multiplicity 2)
Zn 0.500 0.500 0.500 (multiplicity 1)
Re 0.000 0.000 0.500 (multiplicity 1)

Values from the calculation:
Crystal system   tetragonal
Formation energy   2.077 eV per atom
Total moment   0.00 μB/atom
Final energy   -5.301 eV per atom
Calculated volume   100.86 Å³ per cell

Ca3Ce3ScTe8: optimized geometry, GGA-PBE.

Lattice parameters (Å, degrees): 8.9027 8.9027 22.2926 90.00 90.00 120.00
Space group R-3m (No. 166, hexagonal axes)
One atom of each set of equivalent atoms:
Ca 0.0000 0.5000 0.0000 (multiplicity 9)
Ce 0.0000 0.5000 0.5000 (multiplicity 9)
Sc 0.0000 0.0000 0.5000 (multiplicity 3)
Te 0.0000 0.0000 0.2520 (multiplicity 6)
Te 0.0167 0.5083 0.2468 (multiplicity 18)

Values from the calculation:
Crystal system   trigonal
Total moment   0.27 μB/atom
Final energy   -5.113 eV per atom
Calculated volume   1530.05 Å³ per cell

Number 5 is which compound?
Sr2PrPaBi4

Please write out number 6 again, unchanged.
Sm2NbBr: optimized geometry, GGA-PBE.

Lattice parameters (Å, degrees): 3.3383 3.3383 32.6130 90.00 90.00 120.00
Space group R-3m (No. 166, hexagonal axes)
One atom of each set of equivalent atoms:
Sm 0.0000 0.0000 0.0916 (multiplicity 6)
Nb 0.0000 0.0000 0.0000 (multiplicity 3)
Br 0.0000 0.0000 0.5000 (multiplicity 3)

Values from the calculation:
Crystal system   trigonal
Total moment   0.25 μB/atom
Final energy   -5.197 eV per atom
Calculated volume   314.76 Å³ per cell

Which of these has the highest calculated volume?
Ca3Ce3ScTe8